Compound: NbSnSe2F
Source: the Alexandria database
Functional: PBE
Structure: optimized geometry

Calculated values
DOS(E_F)   0.34 states/eV per atom
Formation energy from raw total energies   -412 meV/atom
Magnetization   0.00 μB/f.u.
Calculated total energy   -24.97 eV/cell

The structure in CIF format:
```
data_NbSnSe2F
_chemical_formula_sum 'Nb1 Sn1 Se2 F1'
_cell_length_a 4.872
_cell_length_b 4.872
_cell_length_c 5.680
_cell_angle_alpha 90.00
_cell_angle_beta 90.00
_cell_angle_gamma 90.00
_space_group_name_H-M_alt 'P 4/m m m'
_space_group_IT_number 123
_space_group_name_Hall '-P 4 2'
loop_
_atom_site_label
_atom_site_fract_x
_atom_site_fract_y
_atom_site_fract_z
_atom_site_occupancy
Nb1 0.000 0.000 0.000 1
Sn1 0.000 0.000 0.500 1
Se1 0.000 0.500 0.000 1
F1 0.500 0.500 0.500 1
```

***

Compound: PmHf3Zr2N6
Source: the Alexandria database
Functional: PBE
Structure: optimized geometry

Calculated values
DOS(E_F)   0.25 states/eV per atom
Formation energy from raw total energies   -1682 meV/atom
Magnetization   0.00 μB/f.u.
Calculated total energy   -243.69 eV/cell

The structure in CIF format:
```
data_PmHf3Zr2N6
_chemical_formula_sum 'Pm2 Hf6 Zr4 N12'
_cell_length_a 14.397
_cell_length_b 3.257
_cell_length_c 6.658
_cell_angle_alpha 90.00
_cell_angle_beta 104.23
_cell_angle_gamma 90.00
_space_group_name_H-M_alt 'C 1 2/m 1'
_space_group_IT_number 12
_space_group_name_Hall '-C 2y'
loop_
_atom_site_label
_atom_site_fract_x
_atom_site_fract_y
_atom_site_fract_z
_atom_site_occupancy
Pm1 0.000 0.000 0.000 1
Hf1 0.000 0.000 0.500 1
Hf2 0.168 0.500 0.831 1
Zr1 0.170 0.500 0.340 1
N1 0.003 0.500 0.726 1
N2 0.162 0.000 0.593 1
N3 0.176 0.000 0.077 1
```